A plane-wave DFT calculation with GGA+U was carried out for crystalline KCrPO2 at its relaxed geometry.

```
KCrPO2
1.0
4.0298 0.0000 0.0000
0.0000 4.0298 0.0000
0.0000 0.0000 4.8125
Cr K O P
1 1 2 1
direct
0.0000 0.0000 0.0000
0.5000 0.5000 0.5000
0.0000 0.5000 0.0000
0.5000 0.0000 0.0000
0.0000 0.0000 0.5000
```

Summary:
raw total energy: -5.201 eV per atom
space group: P4/mmm
energy relative to the lowest polymorph listed for this composition: 0.0 meV per atom